## Cs2K2MnO4 (PBE with a Hubbard U)

Data for crystalline Cs2K2MnO4 at its relaxed geometry.

Cell and atoms, written as POSCAR:
```
Cs2K2MnO4
1.0
-3.258 3.258 4.359
3.258 -3.258 4.359
3.258 3.258 -4.359
Cs K Mn O
2 2 1 4
direct
0.250 0.750 0.500 Cs
0.750 0.250 0.500 Cs
0.158 0.158 0.000 K
0.842 0.842 0.000 K
0.500 0.500 0.000 Mn
0.291 0.291 0.583 O
0.291 0.709 0.000 O
0.709 0.291 0.000 O
0.709 0.709 0.417 O
```

DFT total energy (eV per atom): -4.50
Spin magnetization (μB/f.u.): 5.016